[1]
A plane-wave DFT calculation with GGA-PBE was carried out for a geometry-optimized HfMgAlIr structure.

extended XYZ file:
```
4
Lattice="0.0000 3.2365 3.2365 3.2365 0.0000 3.2365 3.2365 3.2365 0.0000" Properties=species:S:1:pos:R:3 pbc="T T T"
Hf 0.0000 0.0000 0.0000
Mg 3.2365 3.2365 3.2365
Al 4.8548 4.8548 4.8548
Ir 1.6183 1.6183 1.6183
```

Values from the calculation:
calculated density	10.33	Mg/m³
space-group type	F-43m
E	-6.57	eV/atom
offset from the most stable computed form	92	meV per atom

[2]
A plane-wave DFT calculation with GGA-PBE was carried out for a geometry-optimized HfMgAlIr structure.

extended XYZ file:
```
4
Lattice="0.0000 3.2132 3.2132 3.2132 0.0000 3.2132 3.2132 3.2132 0.0000" Properties=species:S:1:pos:R:3 pbc="T T T"
Hf 0.0000 0.0000 0.0000
Mg 4.8197 4.8197 4.8197
Al 1.6066 1.6066 1.6066
Ir 3.2132 3.2132 3.2132
```

Values from the calculation:
calculated density	10.56	Mg/m³
space-group type	F-43m
E	-6.34	eV/atom
offset from the most stable computed form	321	meV per atom

[3]
A plane-wave DFT calculation with GGA-PBE was carried out for a geometry-optimized HfMgAlIr structure.

extended XYZ file:
```
4
Lattice="0.0000 3.2111 3.2111 3.2111 0.0000 3.2111 3.2111 3.2111 0.0000" Properties=species:S:1:pos:R:3 pbc="T T T"
Hf 0.0000 0.0000 0.0000
Mg 4.8167 4.8167 4.8167
Al 3.2111 3.2111 3.2111
Ir 1.6056 1.6056 1.6056
```

Values from the calculation:
calculated density	10.58	Mg/m³
space-group type	F-43m
E	-6.66	eV/atom
offset from the most stable computed form	0	meV per atom

[4]
A plane-wave DFT calculation with GGA-PBE was carried out for a geometry-optimized Hf3AlZn2NiIr2 structure.

extended XYZ file:
```
9
Lattice="3.4555 0.0000 0.0000 0.0000 6.1547 3.5140 0.0000 -6.1547 3.5140" Properties=species:S:1:pos:R:3 pbc="T T T"
Hf 0.0000 0.0000 0.0000
Hf 0.0000 -2.5088 4.2076
Hf 0.0000 2.5088 4.2076
Al 1.7277 0.0000 4.5269
Zn 1.7277 -1.5445 1.9327
Zn 1.7277 1.5445 1.9327
Ni 0.0000 0.0000 2.8488
Ir 1.7277 -4.1408 2.7677
Ir 1.7277 4.1408 2.7677
```

Values from the calculation:
calculated density	12.63	Mg/m³
space-group type	Amm2
E	-7.29	eV/atom

[5]
A plane-wave DFT calculation with GGA-PBE was carried out for a geometry-optimized HfZr2Al3NiIr2 structure.

extended XYZ file:
```
9
Lattice="3.4897 0.0000 0.0000 0.0000 6.1308 3.5677 0.0000 -6.1308 3.5677" Properties=species:S:1:pos:R:3 pbc="T T T"
Hf 0.0000 0.0000 0.0000
Zr 0.0000 -2.4757 4.3256
Zr 0.0000 2.4757 4.3256
Al 1.7449 -1.5122 1.9959
Al 1.7449 1.5122 1.9959
Al 1.7449 0.0000 4.6490
Ni 0.0000 0.0000 2.8707
Ir 1.7449 -4.1153 2.8923
Ir 1.7449 4.1153 2.8923
```

Values from the calculation:
calculated density	9.63	Mg/m³
space-group type	Amm2
E	-7.68	eV/atom

[6]
A plane-wave DFT calculation with GGA-PBE was carried out for a geometry-optimized Hf3Al3Ir2Pd structure.

extended XYZ file:
```
9
Lattice="7.2136 0.0000 0.0000 -3.6068 6.2472 0.0000 0.0000 0.0000 3.4502" Properties=species:S:1:pos:R:3 pbc="T T T"
Hf -1.4605 2.5297 0.0000
Hf 2.9210 0.0000 0.0000
Hf 2.1463 3.7175 0.0000
Al -2.6546 4.5979 1.7251
Al 0.9522 1.6492 1.7251
Al 5.3093 0.0000 1.7251
Ir 0.0000 4.1648 1.7251
Ir 3.6068 2.0824 1.7251
Pd 0.0000 0.0000 0.0000
```

Values from the calculation:
calculated density	11.83	Mg/m³
space-group type	P-62m
E	-8.01	eV/atom

[7]
A plane-wave DFT calculation with GGA-PBE was carried out for a geometry-optimized Hf3Al3IrPd2 structure.

extended XYZ file:
```
9
Lattice="7.1291 0.0000 0.0000 -3.5646 6.1740 0.0000 0.0000 0.0000 3.5624" Properties=species:S:1:pos:R:3 pbc="T T T"
Hf -1.4103 2.4427 0.0000
Hf 2.8206 0.0000 0.0000
Hf 2.1543 3.7313 0.0000
Al -2.6396 4.5718 1.7812
Al 0.9250 1.6022 1.7812
Al 5.2791 0.0000 1.7812
Ir 0.0000 0.0000 0.0000
Pd 0.0000 4.1160 1.7812
Pd 3.5646 2.0580 1.7812
```

Values from the calculation:
calculated density	10.82	Mg/m³
space-group type	P-62m
E	-7.49	eV/atom

[8]
A plane-wave DFT calculation with GGA-PBE was carried out for a geometry-optimized LaHfAl structure.

extended XYZ file:
```
3
Lattice="0.0000 3.4774 3.4774 3.4774 0.0000 3.4774 3.4774 3.4774 0.0000" Properties=species:S:1:pos:R:3 pbc="T T T"
La 0.0000 0.0000 0.0000
Hf 3.4774 3.4774 3.4774
Al 5.2161 5.2161 5.2161
```

Values from the calculation:
calculated density	6.80	Mg/m³
space-group type	F-43m
E	-5.97	eV/atom
offset from the most stable computed form	0	meV per atom

[9]
A plane-wave DFT calculation with GGA-PBE was carried out for a geometry-optimized LaHfAl structure.

extended XYZ file:
```
3
Lattice="0.0000 3.5377 3.5377 3.5377 0.0000 3.5377 3.5377 3.5377 0.0000" Properties=species:S:1:pos:R:3 pbc="T T T"
La 0.0000 0.0000 0.0000
Hf 1.7689 1.7689 1.7689
Al 5.3066 5.3066 5.3066
```

Values from the calculation:
calculated density	6.46	Mg/m³
space-group type	F-43m
E	-5.28	eV/atom
offset from the most stable computed form	691	meV per atom

[10]
A plane-wave DFT calculation with GGA-PBE was carried out for a geometry-optimized LaHfAl4Ni2 structure.

extended XYZ file:
```
8
Lattice="6.8750 0.0000 0.0000 0.0000 2.0514 4.9495 0.0000 -2.0514 4.9495" Properties=species:S:1:pos:R:3 pbc="T T T"
La 0.0000 0.0000 0.0000
Hf 3.4375 0.0000 8.6813
Al 1.4666 0.0000 2.8650
Al 2.1501 0.0000 5.8651
Al 4.7248 0.0000 5.8651
Al 5.4084 0.0000 2.8650
Ni 0.0000 0.0000 7.1157
Ni 3.4375 0.0000 1.4518
```

Values from the calculation:
calculated density	6.46	Mg/m³
space-group type	Amm2
E	-5.64	eV/atom

[11]
A plane-wave DFT calculation with GGA-PBE was carried out for a geometry-optimized LaHfAl2Pd4 structure.

extended XYZ file:
```
8
Lattice="4.3640 0.0000 0.0000 -2.1820 3.7793 0.0000 0.0000 0.0000 9.1211" Properties=species:S:1:pos:R:3 pbc="T T T"
La 0.0000 0.0000 0.0000
Hf 0.0000 2.5196 4.5606
Al 2.1820 1.2598 2.5362
Al 2.1820 1.2598 6.5849
Pd 0.0000 0.0000 3.1666
Pd 0.0000 0.0000 5.9545
Pd 0.0000 2.5196 1.7639
Pd 0.0000 2.5196 7.3573
```

Values from the calculation:
calculated density	8.80	Mg/m³
space-group type	P-6m2
E	-6.22	eV/atom

[12]
A plane-wave DFT calculation with GGA-PBE was carried out for a geometry-optimized LiHfAl2 structure.

extended XYZ file:
```
4
Lattice="0.0000 3.2258 3.2258 3.2258 0.0000 3.2258 3.2258 3.2258 0.0000" Properties=species:S:1:pos:R:3 pbc="T T T"
Li 0.0000 0.0000 0.0000
Hf 1.6129 1.6129 1.6129
Al 3.2258 3.2258 3.2258
Al 4.8387 4.8387 4.8387
```

Values from the calculation:
calculated density	5.92	Mg/m³
space-group type	F-43m
E	-4.83	eV/atom

[13]
A plane-wave DFT calculation with GGA-PBE was carried out for a geometry-optimized Li2HfMgAl2Pd2 structure.

extended XYZ file:
```
8
Lattice="4.4703 0.0000 0.0000 0.0000 4.4703 0.0000 0.0000 0.0000 6.2888" Properties=species:S:1:pos:R:3 pbc="T T T"
Li 0.0000 2.2352 1.4409
Li 2.2352 0.0000 4.8479
Hf 0.0000 0.0000 3.1444
Mg 2.2352 2.2352 0.0000
Al 0.0000 0.0000 0.0000
Al 2.2352 2.2352 3.1444
Pd 0.0000 2.2352 4.6697
Pd 2.2352 0.0000 1.6191
```

Values from the calculation:
calculated density	6.39	Mg/m³
space-group type	P-4m2
E	-4.70	eV/atom

[14]
A plane-wave DFT calculation with GGA-PBE was carried out for a geometry-optimized Li2HfMgAl2Pt2 structure.

extended XYZ file:
```
8
Lattice="4.2486 0.0000 0.0000 0.0000 4.2486 0.0000 0.0000 0.0000 6.7352" Properties=species:S:1:pos:R:3 pbc="T T T"
Li 0.0000 2.1243 1.5819
Li 2.1243 0.0000 5.1533
Hf 0.0000 0.0000 3.3676
Mg 2.1243 2.1243 0.0000
Al 0.0000 2.1243 5.1260
Al 2.1243 0.0000 1.6092
Pt 0.0000 0.0000 0.0000
Pt 2.1243 2.1243 3.3676
```

Values from the calculation:
calculated density	9.03	Mg/m³
space-group type	P-4m2
E	-4.95	eV/atom

[15]
A plane-wave DFT calculation with GGA-PBE was carried out for a geometry-optimized Li2Hf2Al2NiPd structure.

extended XYZ file:
```
8
Lattice="4.3842 0.0000 0.0000 0.0000 4.3842 0.0000 0.0000 0.0000 6.2351" Properties=species:S:1:pos:R:3 pbc="T T T"
Li 0.0000 0.0000 0.0000
Li 2.1921 2.1921 3.1176
Hf 0.0000 2.1921 4.6010
Hf 2.1921 0.0000 1.6341
Al 0.0000 2.1921 1.5854
Al 2.1921 0.0000 4.6497
Ni 0.0000 0.0000 3.1176
Pd 2.1921 2.1921 0.0000
```

Values from the calculation:
calculated density	8.17	Mg/m³
space-group type	P-4m2
E	-5.79	eV/atom

[16]
A plane-wave DFT calculation with GGA-PBE was carried out for a geometry-optimized Li2HfAl2NiPt2 structure.

extended XYZ file:
```
8
Lattice="3.9950 0.0000 0.0000 0.0000 3.9950 0.0000 0.0000 0.0000 7.1613" Properties=species:S:1:pos:R:3 pbc="T T T"
Li 0.0000 1.9975 1.5747
Li 1.9975 0.0000 5.5866
Hf 0.0000 0.0000 3.5806
Al 0.0000 1.9975 5.6644
Al 1.9975 0.0000 1.4969
Ni 1.9975 1.9975 0.0000
Pt 0.0000 0.0000 0.0000
Pt 1.9975 1.9975 3.5806
```

Values from the calculation:
calculated density	10.10	Mg/m³
space-group type	P-4m2
E	-5.50	eV/atom

[17]
A plane-wave DFT calculation with GGA-PBE was carried out for a geometry-optimized Li4HfAlO6 structure.

extended XYZ file:
```
12
Lattice="2.5546 -4.4363 0.0000 2.5546 4.4363 0.0000 -1.6879 0.0000 4.7716" Properties=species:S:1:pos:R:3 pbc="T T T"
Li 0.0000 0.0000 0.0000
Li 1.7106 3.0289 2.3858
Li 1.7106 0.1312 2.3858
Li 1.7106 -3.0762 2.3858
Hf 2.5546 -1.4677 0.0000
Al 2.5546 1.4811 0.0000
O 0.9784 1.5183 1.0925
O 0.1036 0.0871 3.6541
O 0.8202 -1.6048 1.1128
O 2.4429 1.5183 3.6791
O 3.3176 0.0871 1.1175
O 2.6010 -1.6048 3.6588
```

Values from the calculation:
calculated density	5.05	Mg/m³
space-group type	C2
E	-6.71	eV/atom

[18]
A plane-wave DFT calculation with GGA-PBE was carried out for a geometry-optimized Li2Hf2Al2PdPt structure.

extended XYZ file:
```
8
Lattice="4.4636 0.0000 0.0000 0.0000 4.4636 0.0000 0.0000 0.0000 6.3138" Properties=species:S:1:pos:R:3 pbc="T T T"
Li 0.0000 0.0000 0.0000
Li 2.2318 2.2318 3.1569
Hf 0.0000 2.2318 1.5788
Hf 2.2318 0.0000 4.7350
Al 0.0000 2.2318 4.7341
Al 2.2318 0.0000 1.5797
Pd 0.0000 0.0000 3.1569
Pt 2.2318 2.2318 0.0000
```

Values from the calculation:
calculated density	9.59	Mg/m³
space-group type	P-4m2
E	-6.05	eV/atom

[19]
A plane-wave DFT calculation with GGA-PBE was carried out for a geometry-optimized Li2HfAl2PdPt2 structure.

extended XYZ file:
```
8
Lattice="4.1156 0.0000 0.0000 0.0000 4.1156 0.0000 0.0000 0.0000 6.9962" Properties=species:S:1:pos:R:3 pbc="T T T"
Li 0.0000 2.0578 1.5658
Li 2.0578 0.0000 5.4304
Hf 0.0000 0.0000 3.4981
Al 0.0000 2.0578 5.4944
Al 2.0578 0.0000 1.5018
Pd 2.0578 2.0578 0.0000
Pt 0.0000 0.0000 0.0000
Pt 2.0578 2.0578 3.4981
```

Values from the calculation:
calculated density	10.41	Mg/m³
space-group type	P-4m2
E	-5.53	eV/atom

[20]
A plane-wave DFT calculation with GGA-PBE was carried out for a geometry-optimized LiHfAlPt structure.

extended XYZ file:
```
4
Lattice="0.0000 3.1549 3.1549 3.1549 0.0000 3.1549 3.1549 3.1549 0.0000" Properties=species:S:1:pos:R:3 pbc="T T T"
Li 0.0000 0.0000 0.0000
Hf 4.7324 4.7324 4.7324
Al 1.5775 1.5775 1.5775
Pt 3.1549 3.1549 3.1549
```

Values from the calculation:
calculated density	10.77	Mg/m³
space-group type	F-43m
E	-6.30	eV/atom
offset from the most stable computed form	0	meV per atom